Here is a geometry-optimized ThZrNbN3 structure from the Alexandria database. Energies are from PBE.

Structure (CIF):
```
data_ThZrNbN3
_chemical_formula_sum 'Th2 Zr2 Nb2 N6'
_symmetry_space_group_name_H-M 'P 1 21/m 1'
_symmetry_Int_Tables_number 11
_cell_length_a 7.038
_cell_length_b 3.259
_cell_length_c 8.328
_cell_angle_alpha 90.00
_cell_angle_beta 97.78
_cell_angle_gamma 90.00
loop_
_symmetry_equiv_pos_as_xyz
'x,y,z'
'-x,-y,-z'
'-x,y+1/2,-z'
'x,-y+1/2,z'
loop_
_atom_site_label
_atom_site_fract_x
_atom_site_fract_y
_atom_site_fract_z
Th1 0.155 0.250 0.184
Zr1 0.358 0.750 0.867
Nb1 0.137 0.250 0.577
N1 0.133 0.250 0.864
N2 0.175 0.750 0.413
N3 0.414 0.750 0.129
```

Calculated values
ΔE_f (raw) in eV per atom: -1.22
M_tot in μB/f.u.: 0.00
ρ in g/cm³: 8.04
DFT total energy in eV/atom: -9.72